(1)
Tc4NiAs after structural relaxation. Source: the Alexandria database, functional PBE.

Computed properties:
Crystal system ... cubic
Energy of formation ... 0.656 eV per atom
DOS at the Fermi energy ... 33.193 states/eV/cell

Geometry as CIF:
```
data_Tc4NiAs
_chemical_formula_sum 'Tc16 Ni4 As4'
_symmetry_space_group_name_H-M 'F -4 3 m'
_symmetry_Int_Tables_number 216
_symmetry_space_group_name_Hall 'F -4 2 3'
_cell_length_a 7.222
_cell_length_b 7.222
_cell_length_c 7.222
_cell_angle_alpha 90.00
_cell_angle_beta 90.00
_cell_angle_gamma 90.00
loop_
_atom_site_label
_atom_site_fract_x
_atom_site_fract_y
_atom_site_fract_z
_atom_site_occupancy
Tc1 0.124 0.124 0.124 1
Ni1 0.250 0.250 0.750 1
As1 0.000 0.000 0.500 1
```

(2)
Tc2NiAs2 after structural relaxation. Source: the Alexandria database, functional PBE.

Computed properties:
Polymorph energy (0 for the lowest one) ... 0.0 meV/atom
Crystal system ... tetragonal
Energy of formation ... 0.104 eV per atom
DOS at the Fermi energy ... 10.003 states/eV/cell

Geometry as CIF:
```
data_Tc2NiAs2
_chemical_formula_sum 'Tc4 Ni2 As4'
_symmetry_space_group_name_H-M 'P 4/m b m'
_symmetry_Int_Tables_number 127
_symmetry_space_group_name_Hall '-P 4 2ab'
_cell_length_a 6.938
_cell_length_b 6.938
_cell_length_c 3.106
_cell_angle_alpha 90.00
_cell_angle_beta 90.00
_cell_angle_gamma 90.00
loop_
_atom_site_label
_atom_site_fract_x
_atom_site_fract_y
_atom_site_fract_z
_atom_site_occupancy
Tc1 0.143 0.357 0.000 1
Ni1 0.000 0.000 0.000 1
As1 0.156 0.656 0.500 1
```

(3)
TcNi2As after structural relaxation. Source: the Alexandria database, functional PBE.

Computed properties:
Polymorph energy (0 for the lowest one) ... 134.8 meV/atom
Crystal system ... tetragonal
Energy of formation ... 0.123 eV per atom
DOS at the Fermi energy ... 10.463 states/eV/cell

Geometry as CIF:
```
data_TcNi2As
_chemical_formula_sum 'Tc2 Ni4 As2'
_symmetry_space_group_name_H-M 'I 4/m m m'
_symmetry_Int_Tables_number 139
_symmetry_space_group_name_Hall '-I 4 2'
_cell_length_a 3.662
_cell_length_b 3.662
_cell_length_c 7.653
_cell_angle_alpha 90.00
_cell_angle_beta 90.00
_cell_angle_gamma 90.00
loop_
_atom_site_label
_atom_site_fract_x
_atom_site_fract_y
_atom_site_fract_z
_atom_site_occupancy
Tc1 0.000 0.000 0.000 1
Ni1 0.000 0.500 0.250 1
As1 0.000 0.000 0.500 1
```

(4)
TcNi2As after structural relaxation. Source: the Alexandria database, functional PBE.

Computed properties:
Polymorph energy (0 for the lowest one) ... 37.0 meV/atom
Crystal system ... orthorhombic
Energy of formation ... 0.025 eV per atom
DOS at the Fermi energy ... 11.212 states/eV/cell

Geometry as CIF:
```
data_TcNi2As
_chemical_formula_sum 'Tc2 Ni4 As2'
_symmetry_space_group_name_H-M 'I m m m'
_symmetry_Int_Tables_number 71
_symmetry_space_group_name_Hall '-I 2 2'
_cell_length_a 2.874
_cell_length_b 4.190
_cell_length_c 8.505
_cell_angle_alpha 90.00
_cell_angle_beta 90.00
_cell_angle_gamma 90.00
loop_
_atom_site_label
_atom_site_fract_x
_atom_site_fract_y
_atom_site_fract_z
_atom_site_occupancy
Tc1 0.000 0.000 0.000 1
Ni1 0.000 0.500 0.229 1
As1 0.000 0.000 0.500 1
```

(5)
TcNi4As after structural relaxation. Source: the Alexandria database, functional PBE.

Computed properties:
Crystal system ... cubic
Energy of formation ... 0.237 eV per atom
DOS at the Fermi energy ... 18.381 states/eV/cell

Geometry as CIF:
```
data_TcNi4As
_chemical_formula_sum 'Tc4 Ni16 As4'
_symmetry_space_group_name_H-M 'F -4 3 m'
_symmetry_Int_Tables_number 216
_symmetry_space_group_name_Hall 'F -4 2 3'
_cell_length_a 6.709
_cell_length_b 6.709
_cell_length_c 6.709
_cell_angle_alpha 90.00
_cell_angle_beta 90.00
_cell_angle_gamma 90.00
loop_
_atom_site_label
_atom_site_fract_x
_atom_site_fract_y
_atom_site_fract_z
_atom_site_occupancy
Tc1 0.000 0.000 0.000 1
Ni1 0.125 0.125 0.375 1
As1 0.250 0.250 0.750 1
```

(6)
TcNiAs2 after structural relaxation. Source: the Alexandria database, functional PBE.

Computed properties:
Polymorph energy (0 for the lowest one) ... 89.1 meV/atom
Crystal system ... trigonal
Energy of formation ... -0.021 eV per atom
DOS at the Fermi energy ... 11.401 states/eV/cell

Geometry as CIF:
```
data_TcNiAs2
_chemical_formula_sum 'Tc3 Ni3 As6'
_symmetry_space_group_name_H-M 'R -3 m'
_symmetry_Int_Tables_number 166
_symmetry_space_group_name_Hall '-R 3 2"'
_cell_length_a 3.0345
_cell_length_b 3.0345
_cell_length_c 22.2010
_cell_angle_alpha 90.00
_cell_angle_beta 90.00
_cell_angle_gamma 120.00
loop_
_atom_site_label
_atom_site_fract_x
_atom_site_fract_y
_atom_site_fract_z
_atom_site_occupancy
Tc1 0.0000 0.0000 0.0000 1
Ni1 0.0000 0.0000 0.5000 1
As1 0.0000 0.0000 0.2477 1
```

(7)
TcNi2As after structural relaxation. Source: the Alexandria database, functional PBE.

Computed properties:
Polymorph energy (0 for the lowest one) ... 36.5 meV/atom
Crystal system ... orthorhombic
Energy of formation ... 0.024 eV per atom
DOS at the Fermi energy ... 10.648 states/eV/cell

Geometry as CIF:
```
data_TcNi2As
_chemical_formula_sum 'Tc2 Ni4 As2'
_symmetry_space_group_name_H-M 'A m m 2'
_symmetry_Int_Tables_number 38
_symmetry_space_group_name_Hall 'A 2 -2'
_cell_length_a 3.775
_cell_length_b 2.824
_cell_length_c 9.744
_cell_angle_alpha 90.00
_cell_angle_beta 90.00
_cell_angle_gamma 90.00
loop_
_atom_site_label
_atom_site_fract_x
_atom_site_fract_y
_atom_site_fract_z
_atom_site_occupancy
Tc1 0.000 0.000 0.000 1
Ni1 0.000 0.000 0.743 1
Ni2 0.500 0.000 0.351 1
As1 0.500 0.000 0.604 1
```

(8)
UTc2NiAs2 after structural relaxation. Source: the Alexandria database, functional PBE.

Computed properties:
Crystal system ... orthorhombic
Energy of formation ... -0.225 eV per atom
DOS at the Fermi energy ... 13.936 states/eV/cell

Geometry as CIF:
```
data_UTc2NiAs2
_chemical_formula_sum 'U2 Tc4 Ni2 As4'
_symmetry_space_group_name_H-M 'P m c 21'
_symmetry_Int_Tables_number 26
_symmetry_space_group_name_Hall 'P 2c -2'
_cell_length_a 4.166
_cell_length_b 8.040
_cell_length_c 5.774
_cell_angle_alpha 90.00
_cell_angle_beta 90.00
_cell_angle_gamma 90.00
loop_
_atom_site_label
_atom_site_fract_x
_atom_site_fract_y
_atom_site_fract_z
_atom_site_occupancy
U1 0.000 0.064 0.000 1
Tc1 0.000 0.307 0.447 1
Tc2 0.500 0.443 0.103 1
Ni1 0.500 0.207 0.732 1
As1 0.000 0.399 0.848 1
As2 0.500 0.172 0.320 1
```

Question: Number 5 is which compound?
Answer: TcNi4As